An optimized crystal structure of TlRu2Pt. Source: Alexandria, functional PBE-GGA.

Properties
Magnetization   0.357 μB per atom
ΔH_f (0 K)   703.2 meV per atom

```
TlRu2Pt
1.0
1.459 -2.472 0.000
1.459 2.472 0.000
0.000 0.000 9.354
Tl Ru Pt
1 2 1
direct
0.000 0.000 0.000
0.500 0.500 0.259
0.500 0.500 0.741
0.000 0.000 0.500
```

=====

An optimized crystal structure of CaCeSnSb. Source: Alexandria, functional PBE-GGA.

Properties
Magnetization   0.221 μB per atom
Energy relative to the elements, uncorrected   -0.640 eV per atom

```
CaCeSnSb
1.0
0.000 3.863 3.863
3.863 0.000 3.863
3.863 3.863 0.000
Ca Ce Sn Sb
1 1 1 1
direct
0.000 0.000 0.000
0.500 0.500 0.500
0.750 0.750 0.750
0.250 0.250 0.250
```

=====

An optimized crystal structure of La2TmSi3Ni12. Source: Alexandria, functional PBE-GGA.

Properties
Magnetization   0.000 μB per atom
Energy relative to the elements, uncorrected   -0.196 eV per atom

```
La2TmSi3Ni12
1.0
4.307 2.487 3.989
-4.307 2.487 3.989
0.000 -4.973 3.989
La Tm Si Ni
2 1 3 12
direct
0.139 0.139 0.139
0.861 0.861 0.861
0.500 0.500 0.500
0.000 0.500 0.500
0.500 0.000 0.500
0.500 0.500 0.000
0.125 0.125 0.579
0.125 0.579 0.125
0.188 0.692 0.692
0.308 0.308 0.812
0.308 0.812 0.308
0.421 0.875 0.875
0.579 0.125 0.125
0.692 0.188 0.692
0.692 0.692 0.188
0.812 0.308 0.308
0.875 0.421 0.875
0.875 0.875 0.421
```

=====

An optimized crystal structure of Sm2ErSi. Source: Alexandria, functional PBE-GGA.

Properties
Magnetization   0.000 μB per atom
Energy relative to the elements, uncorrected   -0.249 eV per atom

```
Sm2ErSi
1.0
4.664 0.000 0.000
0.000 4.664 0.000
0.000 0.000 4.716
Sm Er Si
2 1 1
direct
0.000 0.500 0.000
0.500 0.000 0.000
0.000 0.000 0.500
0.500 0.500 0.500
```

=====

no.,Fermi-level density of states (states/eV per atom)
1,1.678
2,1.841
3,0.572
4,0.970